1.
The following is a DFT calculation (GGA-PBE) of an optimized crystal structure of Ni2H2Pb.

Lattice parameters (Å, degrees): 3.3973 3.3973 9.9653 90.00 90.00 90.00
Space group I4/mmm (No. 139)
Symmetry-distinct sites (fractional):
Ni1 0.0000 0.0000 0.2097
H1 0.0000 0.5000 0.2500
Pb1 0.0000 0.0000 0.5000

Calculated values
Fermi-level density of states = 5.24 states/eV/cell
E = -4.32 eV per atom
V = 58 Å³/f.u.



2.
The following is a DFT calculation (GGA-PBE) of an optimized crystal structure of Ni4H7Pb.

Lattice parameters (Å, degrees): 3.4274 11.7048 5.0713 90.00 90.00 90.00
Space group Pmmn (No. 59, origin choice 2)
Symmetry-distinct sites (fractional):
Ni1 0.2500 0.0313 0.1697
Ni2 0.2500 0.1159 0.6760
H1 0.2500 0.1375 0.3671
H2 0.2500 0.2500 0.6117
H3 0.2500 0.5123 0.8401
H4 0.2500 0.5930 0.3428
Pb1 0.2500 0.7500 0.9527

Calculated values
Fermi-level density of states = 7.70 states/eV/cell
E = -4.13 eV per atom
V = 102 Å³/f.u.



3.
The following is a DFT calculation (GGA-PBE) of an optimized crystal structure of Ni2HPtPb.

Lattice parameters (Å, degrees): 4.1075 4.1075 3.7563 90.00 90.00 90.00
Space group P4/mmm (No. 123)
Symmetry-distinct sites (fractional):
Ni1 0.0000 0.5000 0.0000
H1 0.0000 0.0000 0.0000
Pt1 0.0000 0.0000 0.5000
Pb1 0.5000 0.5000 0.5000

Calculated values
Fermi-level density of states = 2.49 states/eV/cell
E = -4.89 eV per atom
V = 63 Å³/f.u.



4.
The following is a DFT calculation (GGA-PBE) of an optimized crystal structure of NiH6RhPb2.

Lattice parameters (Å, degrees): 4.9817 4.9817 8.6053 90.00 90.00 90.00
Space group I4mm (No. 107)
Symmetry-distinct sites (fractional):
Ni1 0.0000 0.0000 0.0000
H1 0.0000 0.0000 0.3144
H2 0.0000 0.0000 0.8170
H3 0.2438 0.2438 0.0069
Rh1 0.0000 0.0000 0.5041
Pb1 0.0000 0.5000 0.2416

Calculated values
Fermi-level density of states = 0.72 states/eV/cell
E = -3.95 eV per atom
V = 107 Å³/f.u.



5.
The following is a DFT calculation (GGA-PBE) of an optimized crystal structure of NiH8Rh2Pb.

Lattice parameters (Å, degrees): 4.5940 4.5940 17.9948 90.00 90.00 120.00
Space group R-3 (No. 148, hexagonal axes)
Symmetry-distinct sites (fractional):
Ni1 0.0000 0.0000 0.0000
H1 0.0000 0.0000 0.2045
H2 0.0089 0.6327 0.7154
Rh1 0.0000 0.0000 0.2946
Pb1 0.0000 0.0000 0.5000

Calculated values
Fermi-level density of states = 7.84 states/eV/cell
E = -4.19 eV per atom
V = 110 Å³/f.u.



6.
The following is a DFT calculation (GGA-PBE) of an optimized crystal structure of Ni2SbHPb.

Lattice parameters (Å, degrees): 4.8851 4.8851 5.7227 90.00 90.00 90.00
Space group P4/mmm (No. 123)
Symmetry-distinct sites (fractional):
Ni1 0.0000 0.5000 0.0000
Sb1 0.0000 0.0000 0.5000
H1 0.5000 0.5000 0.5000
Pb1 0.0000 0.0000 0.0000

Calculated values
Fermi-level density of states = 6.15 states/eV/cell
E = -2.97 eV per atom
V = 137 Å³/f.u.



7.
The following is a DFT calculation (GGA-PBE) of an optimized crystal structure of VNi2HPb.

Lattice parameters (Å, degrees): 4.2852 4.2852 5.4636 90.00 90.00 90.00
Space group P4/mmm (No. 123)
Symmetry-distinct sites (fractional):
V1 0.0000 0.0000 0.0000
Ni1 0.0000 0.5000 0.0000
H1 0.5000 0.5000 0.5000
Pb1 0.0000 0.0000 0.5000

Calculated values
Fermi-level density of states = 4.68 states/eV/cell
E = -4.18 eV per atom
V = 100 Å³/f.u.



8.
The following is a DFT calculation (GGA-PBE) of an optimized crystal structure of NiH3Pd2.

Lattice parameters (Å, degrees): 4.0403 11.8204 2.8789 90.00 134.17 90.00
Space group Cm (No. 8)
Symmetry-distinct sites (fractional):
Ni1 0.0000 0.0000 0.0000
H1 0.0383 0.1485 0.0521
H2 0.1475 0.5000 0.1613
Pd1 0.0078 0.3417 0.0087

Calculated values
E above lowest polymorph = 0.000 eV/atom
Fermi-level density of states = 3.27 states/eV/cell
V = 49 Å³/f.u.